! AcV2CuO8, optimized geometry, DFT PBE with a Hubbard U; values from VASP
! Total DFT energy (no corrections), eV per atom: -6.936
! SG: I-4m2, No. 119
&SYSTEM
  ibrav = 0, nat = 12, ntyp = 4
/
ATOMIC_SPECIES
O 16.00 O.upf
Ac 227.00 Ac.upf
V 50.94 V.upf
Cu 63.55 Cu.upf
ATOMIC_POSITIONS crystal
O 0.474 0.662 0.812
O 0.338 0.526 0.188
O 0.754 0.078 0.676
O 0.850 0.662 0.188
O 0.922 0.246 0.324
O 0.922 0.598 0.676
O 0.402 0.078 0.324
O 0.338 0.150 0.812
Ac 0.000 0.000 0.000
V 0.500 0.500 0.000
V 0.750 0.250 0.500
Cu 0.250 0.750 0.500
CELL_PARAMETERS angstrom
-3.623 -5.011 -0.125
3.653 0.716 -4.939
3.726 -0.616 4.898